# Rb3TlTe PBE relaxed
# Raw formation energy in eV per atom: -0.33
# Relative energy among the computed polymorphs in meV/atom: 0
# Electronic total energy in eV/atom: -2.0162
# Crystal system: cubic
# N(E_F) in states/eV/atom: 1.657
data_Rb3TlTe
_chemical_formula_sum 'Rb3 Tl1 Te1'
_cell_length_a 6.996
_cell_length_b 6.996
_cell_length_c 6.996
_cell_angle_alpha 90.00
_cell_angle_beta 90.00
_cell_angle_gamma 90.00
_symmetry_space_group_name_H-M 'P 1'
_symmetry_Int_Tables_number 1
loop_
_symmetry_equiv_pos_as_xyz
'x,y,z'
loop_
_atom_site_label
_atom_site_type_symbol
_atom_site_fract_x
_atom_site_fract_y
_atom_site_fract_z
Rb1 Rb 0.000 0.000 0.500
Rb2 Rb 0.000 0.500 0.000
Rb3 Rb 0.500 0.000 0.000
Tl1 Tl 0.500 0.500 0.500
Te1 Te 0.000 0.000 0.000

# La7Sn5Bi PBE relaxed
# Formation energy in eV per atom: -0.60
# Electronic total energy in eV/atom: -5.0864
# Crystal system: orthorhombic
# N(E_F) in states/eV/atom: 0.923
data_La7Sn5Bi
_chemical_formula_sum 'La7 Sn5 Bi1'
_cell_length_a 8.749
_cell_length_b 8.749
_cell_length_c 8.749
_cell_angle_alpha 136.64
_cell_angle_beta 95.90
_cell_angle_gamma 99.80
_symmetry_space_group_name_H-M 'P 1'
_symmetry_Int_Tables_number 1
loop_
_symmetry_equiv_pos_as_xyz
'x,y,z'
loop_
_atom_site_label
_atom_site_type_symbol
_atom_site_fract_x
_atom_site_fract_y
_atom_site_fract_z
La1 La 0.000 0.000 0.000
La2 La 0.082 0.757 0.325
La3 La 0.402 0.402 0.000
La4 La 0.432 0.757 0.675
La5 La 0.552 0.052 0.500
La6 La 0.616 0.277 0.339
La7 La 0.939 0.277 0.661
Sn1 Sn 0.026 0.526 0.500
Sn2 Sn 0.266 0.257 0.502
Sn3 Sn 0.266 0.764 0.009
Sn4 Sn 0.754 0.257 0.991
Sn5 Sn 0.754 0.764 0.498
Bi1 Bi 0.710 0.710 0.000

# PrZnPdPt PBE relaxed
# Relative energy among the computed polymorphs in meV/atom: 0
# Formation energy in eV per atom: -0.81
# Electronic total energy in eV/atom: -5.1283
# Crystal system: monoclinic
# N(E_F) in states/eV/atom: 0.520
data_PrZnPdPt
_chemical_formula_sum 'Pr1 Zn1 Pd1 Pt1'
_cell_length_a 4.417
_cell_length_b 4.417
_cell_length_c 5.493
_cell_angle_alpha 113.78
_cell_angle_beta 113.78
_cell_angle_gamma 60.11
_symmetry_space_group_name_H-M 'P 1'
_symmetry_Int_Tables_number 1
loop_
_symmetry_equiv_pos_as_xyz
'x,y,z'
loop_
_atom_site_label
_atom_site_type_symbol
_atom_site_fract_x
_atom_site_fract_y
_atom_site_fract_z
Pr1 Pr 0.000 0.000 0.000
Zn1 Zn 0.495 0.495 0.483
Pd1 Pd 0.210 0.210 0.631
Pt1 Pt 0.787 0.787 0.361

# Y2TaBr PBE relaxed
# Raw formation energy in eV per atom: -0.24
# Relative energy among the computed polymorphs in meV/atom: 36
# Electronic total energy in eV/atom: -6.8578
# Crystal system: tetragonal
# N(E_F) in states/eV/atom: 1.171
data_Y2TaBr
_chemical_formula_sum 'Y2 Ta1 Br1'
_cell_length_a 3.383
_cell_length_b 3.383
_cell_length_c 8.866
_cell_angle_alpha 90.00
_cell_angle_beta 90.00
_cell_angle_gamma 90.00
_symmetry_space_group_name_H-M 'P 1'
_symmetry_Int_Tables_number 1
loop_
_symmetry_equiv_pos_as_xyz
'x,y,z'
loop_
_atom_site_label
_atom_site_type_symbol
_atom_site_fract_x
_atom_site_fract_y
_atom_site_fract_z
Y1 Y 0.000 0.000 0.233
Y2 Y 0.000 0.000 0.767
Ta1 Ta 0.500 0.500 0.000
Br1 Br 0.500 0.500 0.500

# LiLaSbPd PBE relaxed
# Raw formation energy in eV per atom: -0.76
# Electronic total energy in eV/atom: -4.7989
# Crystal system: cubic
# N(E_F) in states/eV/atom: 0.567
data_LiLaSbPd
_chemical_formula_sum 'Li1 La1 Sb1 Pd1'
_cell_length_a 4.938
_cell_length_b 4.938
_cell_length_c 4.938
_cell_angle_alpha 60.00
_cell_angle_beta 60.00
_cell_angle_gamma 60.00
_symmetry_space_group_name_H-M 'P 1'
_symmetry_Int_Tables_number 1
loop_
_symmetry_equiv_pos_as_xyz
'x,y,z'
loop_
_atom_site_label
_atom_site_type_symbol
_atom_site_fract_x
_atom_site_fract_y
_atom_site_fract_z
Li1 Li 0.000 0.000 0.000
La1 La 0.250 0.250 0.250
Sb1 Sb 0.750 0.750 0.750
Pd1 Pd 0.500 0.500 0.500

# Ac7Tl2Ir2 PBE relaxed
# Relative energy among the computed polymorphs in meV/atom: 31
# Formation energy in eV per atom: -0.37
# Electronic total energy in eV/atom: -5.0291
# Crystal system: orthorhombic
# N(E_F) in states/eV/atom: 1.016
data_Ac7Tl2Ir2
_chemical_formula_sum 'Ac7 Tl2 Ir2'
_cell_length_a 10.403
_cell_length_b 10.403
_cell_length_c 10.403
_cell_angle_alpha 155.91
_cell_angle_beta 65.81
_cell_angle_gamma 119.79
_symmetry_space_group_name_H-M 'P 1'
_symmetry_Int_Tables_number 1
loop_
_symmetry_equiv_pos_as_xyz
'x,y,z'
loop_
_atom_site_label
_atom_site_type_symbol
_atom_site_fract_x
_atom_site_fract_y
_atom_site_fract_z
Ac1 Ac 0.000 0.000 0.000
Ac2 Ac 0.276 0.604 0.672
Ac3 Ac 0.279 0.377 0.902
Ac4 Ac 0.476 0.377 0.098
Ac5 Ac 0.592 0.204 0.388
Ac6 Ac 0.816 0.204 0.612
Ac7 Ac 0.931 0.604 0.328
Tl1 Tl 0.127 0.888 0.239
Tl2 Tl 0.648 0.888 0.761
Ir1 Ir 0.204 0.704 0.500
Ir2 Ir 0.638 0.638 0.000

# LaHf3Cu PBE relaxed
# Relative energy among the computed polymorphs in meV/atom: 0
# Formation energy in eV per atom: 0.45
# Electronic total energy in eV/atom: -7.3297
# Crystal system: cubic
# N(E_F) in states/eV/atom: 2.255
data_LaHf3Cu
_chemical_formula_sum 'La1 Hf3 Cu1'
_cell_length_a 5.002
_cell_length_b 5.002
_cell_length_c 5.002
_cell_angle_alpha 90.00
_cell_angle_beta 90.00
_cell_angle_gamma 90.00
_symmetry_space_group_name_H-M 'P 1'
_symmetry_Int_Tables_number 1
loop_
_symmetry_equiv_pos_as_xyz
'x,y,z'
loop_
_atom_site_label
_atom_site_type_symbol
_atom_site_fract_x
_atom_site_fract_y
_atom_site_fract_z
La1 La 0.000 0.000 0.000
Hf1 Hf 0.000 0.500 0.500
Hf2 Hf 0.500 0.000 0.500
Hf3 Hf 0.500 0.500 0.000
Cu1 Cu 0.500 0.500 0.500

# TbBeCuC PBE relaxed
# Formation energy in eV per atom: -0.15
# Electronic total energy in eV/atom: -5.5732
# Crystal system: tetragonal
# N(E_F) in states/eV/atom: 0.187
data_TbBeCuC
_chemical_formula_sum 'Tb2 Be2 Cu2 C2'
_cell_length_a 3.666
_cell_length_b 3.666
_cell_length_c 8.240
_cell_angle_alpha 90.00
_cell_angle_beta 90.00
_cell_angle_gamma 90.00
_symmetry_space_group_name_H-M 'P 1'
_symmetry_Int_Tables_number 1
loop_
_symmetry_equiv_pos_as_xyz
'x,y,z'
loop_
_atom_site_label
_atom_site_type_symbol
_atom_site_fract_x
_atom_site_fract_y
_atom_site_fract_z
Tb1 Tb 0.250 0.250 0.153
Tb2 Tb 0.750 0.750 0.847
Be1 Be 0.250 0.250 0.658
Be2 Be 0.750 0.750 0.342
Cu1 Cu 0.250 0.750 0.500
Cu2 Cu 0.750 0.250 0.500
C1 C 0.250 0.250 0.856
C2 C 0.750 0.750 0.144

# La6Ge3SeS2 PBE relaxed
# Raw formation energy in eV per atom: -1.47
# Electronic total energy in eV/atom: -6.0710
# Crystal system: monoclinic
# N(E_F) in states/eV/atom: 0.392
data_La6Ge3SeS2
_chemical_formula_sum 'La6 Ge3 Se1 S2'
_cell_length_a 9.689
_cell_length_b 9.689
_cell_length_c 8.665
_cell_angle_alpha 102.70
_cell_angle_beta 102.70
_cell_angle_gamma 25.92
_symmetry_space_group_name_H-M 'P 1'
_symmetry_Int_Tables_number 1
loop_
_symmetry_equiv_pos_as_xyz
'x,y,z'
loop_
_atom_site_label
_atom_site_type_symbol
_atom_site_fract_x
_atom_site_fract_y
_atom_site_fract_z
La1 La 0.001 0.001 0.256
La2 La 0.331 0.331 0.915
La3 La 0.333 0.333 0.418
La4 La 0.667 0.667 0.582
La5 La 0.669 0.669 0.085
La6 La 0.999 0.999 0.744
Ge1 Ge 0.166 0.166 0.832
Ge2 Ge 0.500 0.500 0.500
Ge3 Ge 0.834 0.834 0.168
Se1 Se 0.500 0.500 0.000
S1 S 0.167 0.167 0.334
S2 S 0.833 0.833 0.666

# BaSbI2Cl PBE relaxed
# Raw formation energy in eV per atom: -0.46
# Electronic total energy in eV/atom: -2.6595
# Crystal system: tetragonal
# N(E_F) in states/eV/atom: 0.762
data_BaSbI2Cl
_chemical_formula_sum 'Ba1 Sb1 I2 Cl1'
_cell_length_a 6.667
_cell_length_b 6.667
_cell_length_c 5.064
_cell_angle_alpha 90.00
_cell_angle_beta 90.00
_cell_angle_gamma 90.00
_symmetry_space_group_name_H-M 'P 1'
_symmetry_Int_Tables_number 1
loop_
_symmetry_equiv_pos_as_xyz
'x,y,z'
loop_
_atom_site_label
_atom_site_type_symbol
_atom_site_fract_x
_atom_site_fract_y
_atom_site_fract_z
Ba1 Ba 0.000 0.000 0.000
Sb1 Sb 0.500 0.500 0.000
I1 I 0.000 0.500 0.500
I2 I 0.500 0.000 0.500
Cl1 Cl 0.500 0.500 0.500

# HfFe2Tc PBE relaxed
# Relative energy among the computed polymorphs in meV/atom: 423
# Formation energy in eV per atom: 0.37
# Electronic total energy in eV/atom: -8.9370
# Crystal system: tetragonal
# N(E_F) in states/eV/atom: 1.130
data_HfFe2Tc
_chemical_formula_sum 'Hf2 Fe4 Tc2'
_cell_length_a 5.543
_cell_length_b 5.543
_cell_length_c 5.543
_cell_angle_alpha 102.89
_cell_angle_beta 102.89
_cell_angle_gamma 123.62
_symmetry_space_group_name_H-M 'P 1'
_symmetry_Int_Tables_number 1
loop_
_symmetry_equiv_pos_as_xyz
'x,y,z'
loop_
_atom_site_label
_atom_site_type_symbol
_atom_site_fract_x
_atom_site_fract_y
_atom_site_fract_z
Hf1 Hf 0.000 0.000 0.000
Hf2 Hf 0.750 0.250 0.500
Fe1 Fe 0.152 0.625 0.027
Fe2 Fe 0.375 0.402 0.527
Fe3 Fe 0.598 0.125 0.973
Fe4 Fe 0.875 0.848 0.473
Tc1 Tc 0.250 0.750 0.500
Tc2 Tc 0.500 0.500 0.000